Entry from Alexandria via LeMat-Bulk: a PBEsol-optimized structure of SrLiHgPd2 (meta-GGA SCAN).

Computed properties:
**ΔE_f**: 0.790 eV per atom

Cell: 5.083 5.083 5.283 Å, 90.00 90.00 90.00°
Element x y z (fractional)
Sr 0.000 0.000 0.000
Li 0.000 0.000 0.500
Hg 0.500 0.500 0.500
Pd 0.000 0.500 0.000
Pd 0.500 0.000 0.000